Computed, not measured: a geometry-optimized LaCu2PAu2 structure at the GGA-PBE level of DFT.

Structure (POSCAR):
```
LaCu2PAu2
1.0
4.468 0.000 0.000
0.000 4.468 0.000
0.000 0.000 5.846
La Cu P Au
1 2 1 2
Direct
0.000 0.000 0.000
0.000 0.500 0.500
0.500 0.000 0.500
0.000 0.000 0.500
0.500 0.500 0.232
0.500 0.500 0.768
```

Values from the calculation:
ρ: 9829 kg/m3
Energy of formation from the pure elements: -0.419 eV per atom

---

Computed, not measured: a geometry-optimized Ca2LaBe structure at the GGA-PBE level of DFT.

Structure (POSCAR):
```
Ca2LaBe
1.0
3.390 -5.902 0.000
3.390 5.902 0.000
-1.745 0.000 3.135
Ca La Be
2 1 1
Direct
0.000 0.500 0.000
0.500 0.000 0.000
0.000 0.000 0.500
0.500 0.500 0.500
```

Values from the calculation:
ρ: 3019 kg/m3
Energy of formation from the pure elements: 0.503 eV per atom